Here is KSNO after structural relaxation from the Alexandria database. Energies are from PBE.

ΔE_f (raw), eV/atom: -0.746

Unit cell a=6.417 b=7.213 c=7.904 alpha=90.00 beta=90.00 gamma=90.00
Fractional positions:
K 0.254 0.898 0.132
K 0.746 0.398 0.368
K 0.246 0.102 0.632
K 0.754 0.602 0.868
N 0.055 0.479 0.615
N 0.555 0.021 0.385
N 0.945 0.979 0.885
N 0.445 0.521 0.115
S 0.750 0.911 0.377
S 0.250 0.411 0.123
S 0.250 0.589 0.623
S 0.750 0.089 0.877
O 0.540 0.991 0.879
O 0.460 0.491 0.621
O 0.040 0.509 0.121
O 0.960 0.009 0.379